Record 1
VASP calculation (PBE) on a relaxed MgTaBe2 crystal.

a = 3.5660 Å, b = 3.5660 Å, c = 8.9114 Å
α = 90.00°, β = 90.00°, γ = 90.00°
Last column: nearest neighbours and their distance in Å.
Space group I-4m2 (No. 119)
Unique sites:
Mg  0.0000  0.0000  0.0000  4 Be 2.52
Ta  0.0000  0.5000  0.7500  4 Be 2.52
Be  0.0000  0.0000  0.5000  4 Mg 2.52
Be  0.0000  0.5000  0.2500  4 Ta 2.52

Properties
* E_tot: -4.733 eV per atom
* calculated formation energy: 0.4919 eV/atom
* calculated volume: 14.16 A^3/atom

Record 2
VASP calculation (PBE) on a relaxed Mg2TaBe crystal.

a = 2.9152 Å, b = 3.8183 Å, c = 6.2363 Å
α = 90.00°, β = 90.00°, γ = 90.00°
Last column: nearest neighbours and their distance in Å.
Space group Pmm2 (No. 25)
Unique sites:
Mg  0.0000  0.0000  0.0000  1 Ta 2.82, 6 Mg 2.92-2.99, 4 Be 2.94
Mg  0.5000  0.5000  0.2861  1 Be 2.75, 4 Ta 2.90, 6 Mg 2.92-2.99
Ta  0.0000  0.0000  0.5479  4 Be 2.65, 5 Mg 2.82-2.90, 2 Ta 2.92
Be  0.5000  0.5000  0.7271  4 Ta 2.65, 5 Mg 2.75-2.94, 2 Be 2.92

Properties
* E_tot: -4.328 eV per atom
* calculated formation energy: 0.3642 eV/atom
* calculated volume: 17.35 A^3/atom

Record 3
VASP calculation (PBE) on a relaxed MgTa3Be crystal.

a = 4.6822 Å, b = 4.6822 Å, c = 4.6822 Å
α = 90.00°, β = 90.00°, γ = 90.00°
Last column: nearest neighbours and their distance in Å.
Space group Pm-3m (No. 221)
Unique sites:
Mg  0.0000  0.0000  0.0000  6 Ta 2.34
Ta  0.0000  0.0000  0.5000  2 Mg 2.34
Be  0.5000  0.5000  0.5000  12 Ta 3.31

Properties
* E_tot: -6.006 eV per atom
* calculated formation energy: 2.1697 eV/atom
* calculated volume: 20.53 A^3/atom
* polymorph energy (0 for the lowest one): 8.03 eV/f.u.

Record 4
VASP calculation (PBE) on a relaxed MgTaBe2 crystal.

a = 3.7946 Å, b = 2.9970 Å, c = 9.6206 Å
α = 90.00°, β = 90.00°, γ = 90.00°
Last column: nearest neighbours and their distance in Å.
Space group Amm2 (No. 38)
Unique sites:
Mg  0.0000  0.0000  0.0000  7 Be 2.57-2.66
Ta  0.5000  0.0000  0.6889  7 Be 2.56-2.68
Be  0.0000  0.0000  0.2765  2 Be 2.29, 4 Ta 2.56
Be  0.5000  0.0000  0.4099  2 Be 2.29

Properties
* E_tot: -5.039 eV per atom
* calculated formation energy: 0.1856 eV/atom
* calculated volume: 13.68 A^3/atom

Record 5
VASP calculation (PBE) on a relaxed MgTaBe2 crystal.

a = 2.7877 Å, b = 3.7866 Å, c = 5.4067 Å
α = 90.00°, β = 90.00°, γ = 90.00°
Last column: nearest neighbours and their distance in Å.
Space group Pmm2 (No. 25)
Unique sites:
Mg  0.0000  0.0000  0.0000  6 Be 2.61-2.80, 2 Mg 2.79, 4 Ta 2.89
Ta  0.5000  0.5000  0.3105  5 Be 2.53-2.60, 2 Ta 2.79
Be  0.0000  0.0000  0.5176  4 Ta 2.60, 2 Mg 2.61-2.80, 6 Be 2.74-2.79
Be  0.5000  0.5000  0.7786  1 Ta 2.53, 4 Mg 2.64, 6 Be 2.74-2.79

Properties
* E_tot: -4.760 eV per atom
* calculated formation energy: 0.4649 eV/atom
* calculated volume: 14.27 A^3/atom

Record 6
VASP calculation (PBE) on a relaxed MgTa3Be crystal.

a = 4.4703 Å, b = 4.4703 Å, c = 4.4703 Å
α = 90.00°, β = 90.00°, γ = 90.00°
Last column: nearest neighbours and their distance in Å.
Space group Pm-3m (No. 221)
Unique sites:
Mg  0.0000  0.0000  0.0000  12 Ta 3.16
Ta  0.0000  0.5000  0.5000  2 Be 2.24
Be  0.5000  0.5000  0.5000  6 Ta 2.24

Properties
* E_tot: -7.612 eV per atom
* calculated formation energy: 0.5638 eV/atom
* calculated volume: 17.87 A^3/atom
* polymorph energy (0 for the lowest one): 0.00 eV/f.u.

Record 7
VASP calculation (PBE) on a relaxed Mg2TaBe crystal.

a = 2.8549 Å, b = 4.2990 Å, c = 5.6041 Å
α = 90.00°, β = 90.00°, γ = 90.00°
Last column: nearest neighbours and their distance in Å.
Space group Pmmm (No. 47)
Unique sites:
Mg  0.0000  0.0000  0.2443  4 Mg 2.74-2.87, 4 Be 2.92, 4 Ta 2.95
Ta  0.5000  0.5000  0.5000  2 Be 2.80, 2 Ta 2.85, 8 Mg 2.95
Be  0.5000  0.5000  0.0000  2 Ta 2.80, 2 Be 2.85, 8 Mg 2.92

Properties
* E_tot: -4.196 eV per atom
* calculated formation energy: 0.4957 eV/atom
* calculated volume: 17.20 A^3/atom

Record 8
VASP calculation (PBE) on a relaxed MgTaBe17 crystal.

a = 7.4132 Å, b = 7.4132 Å, c = 10.8123 Å
α = 90.00°, β = 90.00°, γ = 120.00°
Last column: nearest neighbours and their distance in Å.
Space group R3m (No. 160, hexagonal axes)
Unique sites:
Mg  0.0000  0.0000  0.0000  16 Be 2.63-2.83
Ta  0.0000  0.0000  0.6816  19 Be 2.55-2.84
Be  0.0000  0.0000  0.2489  7 Be 2.13-2.34
Be  0.0000  0.0000  0.4462  7 Be 2.13-2.29
Be  0.9999  0.2932  0.3454  8 Be 2.08-2.29
Be  0.0042  0.5021  0.5013  9 Be 2.14-2.34
Be  0.1670  0.3340  0.5218  9 Be 2.12-2.29
Be  0.1705  0.3410  0.1835  10 Be 2.08-2.30

Properties
* E_tot: -4.134 eV per atom
* calculated formation energy: -0.0919 eV/atom
* calculated volume: 9.03 A^3/atom

Record 9
VASP calculation (PBE) on a relaxed Mg2TaBe crystal.

a = 10.1414 Å, b = 2.7753 Å, c = 5.2618 Å
α = 90.00°, β = 113.13°, γ = 90.00°
Last column: nearest neighbours and their distance in Å.
Space group Cm (No. 8)
Unique sites:
Mg  0.0000  0.0000  0.0000  2 Be 2.68, 5 Mg 2.78-2.92, 2 Ta 2.99
Mg  0.2248  0.0000  0.8231  2 Be 2.64, 5 Mg 2.78-2.92
Ta  0.4409  0.0000  0.4482  3 Be 2.63-2.87, 2 Ta 2.78
Be  0.2099  0.5000  0.3863  3 Ta 2.63-2.87, 4 Mg 2.64-2.68, 2 Be 2.78

Properties
* E_tot: -4.306 eV per atom
* calculated formation energy: 0.3858 eV/atom
* calculated volume: 17.02 A^3/atom

Record 10
VASP calculation (PBE) on a relaxed Mg2TaBe crystal.

a = 4.5400 Å, b = 4.5400 Å, c = 6.4628 Å
α = 90.00°, β = 90.00°, γ = 90.00°
Last column: nearest neighbours and their distance in Å.
Space group I-4m2 (No. 119)
Unique sites:
Mg  0.0000  0.0000  0.0000  4 Ta 2.79, 4 Mg 2.79
Mg  0.0000  0.5000  0.2500  4 Be 2.79, 4 Mg 2.79
Ta  0.0000  0.5000  0.7500  4 Mg 2.79, 4 Be 2.79
Be  0.0000  0.0000  0.5000  4 Ta 2.79, 4 Mg 2.79

Properties
* E_tot: -4.148 eV per atom
* calculated formation energy: 0.5438 eV/atom
* calculated volume: 16.65 A^3/atom

Record 11
VASP calculation (PBE) on a relaxed Mg2TaBe crystal.

a = 2.9504 Å, b = 3.9967 Å, c = 6.0659 Å
α = 90.00°, β = 103.98°, γ = 90.00°
Last column: nearest neighbours and their distance in Å.
Space group Pm (No. 6)
Unique sites:
Mg  0.0000  0.0000  0.0000  1 Be 2.55
Mg  0.3619  0.5000  0.7249  2 Be 2.63
Ta  0.6385  0.5000  0.2805  4 Be 2.64-2.65, 2 Ta 2.95
Be  0.2123  0.0000  0.4340  3 Mg 2.55-2.63, 4 Ta 2.64-2.65

Properties
* E_tot: -4.382 eV per atom
* calculated formation energy: 0.3095 eV/atom
* calculated volume: 17.35 A^3/atom

Record 12
VASP calculation (PBE) on a relaxed MgTaBe2 crystal.

a = 7.7216 Å, b = 2.7784 Å, c = 5.5133 Å
α = 90.00°, β = 97.13°, γ = 90.00°
Last column: nearest neighbours and their distance in Å.
Space group C2/m (No. 12)
Unique sites:
Mg  0.0000  0.0000  0.0000  6 Be 2.54-2.65, 2 Mg 2.78
Ta  0.0000  0.5000  0.5000  6 Be 2.47-2.60
Be  0.2494  0.0000  0.7396  3 Ta 2.47-2.60, 3 Mg 2.54-2.65

Properties
* E_tot: -4.766 eV per atom
* calculated formation energy: 0.4591 eV/atom
* calculated volume: 14.67 A^3/atom

Record 13
VASP calculation (PBE) on a relaxed Mg2TaBe crystal.

a = 7.3430 Å, b = 7.3430 Å, c = 5.2112 Å
α = 90.00°, β = 90.00°, γ = 90.00°
Last column: nearest neighbours and their distance in Å.
Space group I-42d (No. 122)
Unique sites:
Mg  0.1969  0.2500  0.1250  2 Be 2.43
Ta  0.0000  0.0000  0.5000  2 Be 2.61
Be  0.0000  0.0000  0.0000  4 Mg 2.43, 2 Ta 2.61

Properties
* E_tot: -3.936 eV per atom
* calculated formation energy: 0.7561 eV/atom
* calculated volume: 17.56 A^3/atom

Record 14
VASP calculation (PBE) on a relaxed MgTaBe2 crystal.

a = 6.5206 Å, b = 6.5206 Å, c = 5.5511 Å
α = 90.00°, β = 90.00°, γ = 90.00°
Last column: nearest neighbours and their distance in Å.
Space group I-42d (No. 122)
Unique sites:
Mg  0.0000  0.0000  0.0000  4 Be 2.39
Ta  0.0000  0.0000  0.5000  4 Be 2.43
Be  0.2455  0.7500  0.1250  2 Mg 2.39, 2 Ta 2.43

Properties
* E_tot: -4.503 eV per atom
* calculated formation energy: 0.7222 eV/atom
* calculated volume: 14.75 A^3/atom

no.,DOS at the Fermi energy (states/eV per cell)
1,8.42
2,2.84
3,8.37
4,5.03
5,1.97
6,4.19
7,2.50
8,11.27
9,3.59
10,7.11
11,1.95
12,3.10
13,16.22
14,15.26